Here is HgPbO2 after structural relaxation from the Alexandria database. Energies are from PBE.

Cell lengths 3.375, 5.778, 8.547 Å; angles 90.00, 101.15, 90.00 degrees
Sites, in units of the cell vectors:
Hg (0.336, 0.500, 0.930)
Hg (0.397, 0.000, 0.048)
Pb (0.077, 0.500, 0.421)
Pb (0.644, 0.000, 0.558)
O (0.177, 0.760, 0.627)
O (0.177, 0.240, 0.627)
O (0.543, 0.260, 0.352)
O (0.543, 0.740, 0.352)

Results
The uncorrected formation energy is -0.522 eV per atom. For the volume, the calculation gives 20.44 Å³ per atom. Its total energy is -32.0 eV/cell. The space group is No. 6.

Here is Tl3Sn2Pb6 after structural relaxation from the Alexandria database. Energies are from PBE.

Cell lengths 9.899, 9.899, 9.899 Å; angles 109.47, 109.47, 109.47 degrees
Sites, in units of the cell vectors:
Tl (0.755, 0.000, 0.755)
Tl (0.245, 0.000, 0.245)
Tl (0.000, 0.245, 0.245)
Tl (0.000, 0.755, 0.755)
Tl (0.245, 0.245, 0.000)
Tl (0.755, 0.755, 0.000)
Sn (0.000, 0.500, 0.000)
Sn (0.500, 0.000, 0.000)
Sn (0.000, 0.000, 0.500)
Sn (0.500, 0.500, 0.500)
Pb (0.649, 0.298, 0.649)
Pb (0.649, 0.000, 0.351)
Pb (0.351, 0.000, 0.649)
Pb (0.351, 0.702, 0.351)
Pb (0.000, 0.649, 0.351)
Pb (0.702, 0.351, 0.351)
Pb (0.298, 0.649, 0.649)
Pb (0.000, 0.351, 0.649)
Pb (0.351, 0.649, 0.000)
Pb (0.649, 0.649, 0.298)
Pb (0.351, 0.351, 0.702)
Pb (0.649, 0.351, 0.000)

Results
For the volume, the calculation gives 33.94 Å³ per atom. Its total energy is -72.6 eV/cell. Its formation energy is 1.07 eV per formula unit. The space group is No. 229.

Here is BaCdIn2Hg after structural relaxation from the Alexandria database. Energies are from PBE.

Cell lengths 4.859, 4.961, 7.107 Å; angles 110.43, 109.99, 90.00 degrees
Sites, in units of the cell vectors:
Ba (0.440, 0.440, 0.880)
Cd (0.189, 0.689, 0.377)
In (0.697, 0.197, 0.394)
In (0.058, 0.058, 0.117)
Hg (0.828, 0.828, 0.656)

Results
For the volume, the calculation gives 29.89 Å³ per atom. Its total energy is -10.4 eV/cell. Its formation energy is -1.79 eV per formula unit. The space group is No. 44.